{"formula": "NaSnHg2Te4", "functional": "PBE", "state": "relaxed", "space_group": "Fmm2, No. 42", "formation_energy_uncorrected_mev_per_atom": -261, "dos_at_fermi_per_ev_fu": 4.31, "total_magnetization_mub_per_cell": 0.0, "lattice": [[0.000, 4.834, 6.775], [4.832, 0.000, 6.775], [4.832, 4.834, 0.000]], "species": ["Na", "Sn", "Hg", "Hg", "Te", "Te", "Te", "Te"], "fractional_positions": [[0.000, 0.000, 0.000], [0.499, 0.499, 0.501], [0.249, 0.249, 0.251], [0.749, 0.749, 0.751], [0.128, 0.609, 0.872], [0.390, 0.870, 0.130], [0.609, 0.128, 0.391], [0.870, 0.390, 0.610]]}


{"formula": "Na2SnHgTe", "functional": "PBE", "state": "relaxed", "space_group": "P4/mmm, No. 123", "formation_energy_uncorrected_mev_per_atom": -1, "dos_at_fermi_per_ev_fu": 3.60, "total_magnetization_mub_per_cell": 0.0, "lattice": [[5.635, 0.000, 0.000], [0.000, 5.635, 0.000], [0.000, 0.000, 5.348]], "species": ["Na", "Na", "Sn", "Hg", "Te"], "fractional_positions": [[0.000, 0.500, 0.000], [0.500, 0.000, 0.000], [0.000, 0.000, 0.500], [0.000, 0.000, 0.000], [0.500, 0.500, 0.500]]}


{"formula": "NaTlSnHg", "functional": "PBE", "state": "relaxed", "space_group": "Pm, No. 6", "dos_at_fermi_per_ev_fu": 1.67, "total_magnetization_mub_per_cell": 0.0, "e_above_lowest_polymorph_mev_per_atom": 19, "formation_energy_ev_per_fu": -0.38, "lattice": [[4.374, 0.000, 0.000], [0.000, 3.635, 0.000], [-0.008, 0.000, 6.804]], "species": ["Na", "Tl", "Sn", "Hg"], "fractional_positions": [[0.000, 0.000, 0.000], [0.500, 0.500, 0.730], [0.999, 0.000, 0.484], [0.499, 0.500, 0.233]]}


{"formula": "NaTl5SnHg2", "functional": "PBE", "state": "relaxed", "space_group": "Cmc2_1, No. 36", "dos_at_fermi_per_ev_fu": 4.49, "total_magnetization_mub_per_cell": 0.0, "formation_energy_ev_per_fu": -0.36, "lattice": [[2.610, -7.926, 0.000], [2.610, 7.926, 0.000], [0.000, 0.000, 12.659]], "species": ["Na", "Na", "Tl", "Tl", "Tl", "Tl", "Tl", "Tl", "Tl", "Tl", "Tl", "Tl", "Sn", "Sn", "Hg", "Hg", "Hg", "Hg"], "fractional_positions": [[0.077, 0.923, 0.500], [0.923, 0.077, 0.000], [0.090, 0.910, 0.169], [0.103, 0.897, 0.861], [0.252, 0.748, 0.353], [0.253, 0.747, 0.660], [0.421, 0.579, 0.191], [0.579, 0.421, 0.691], [0.747, 0.253, 0.160], [0.748, 0.252, 0.853], [0.897, 0.103, 0.361], [0.910, 0.090, 0.669], [0.270, 0.730, 0.011], [0.730, 0.270, 0.511], [0.408, 0.592, 0.839], [0.439, 0.561, 0.504], [0.561, 0.439, 0.004], [0.592, 0.408, 0.339]]}


{"formula": "NaTl2SnHg2", "functional": "PBE", "state": "relaxed", "space_group": "Pmc2_1, No. 26", "dos_at_fermi_per_ev_fu": 2.03, "total_magnetization_mub_per_cell": 0.0, "formation_energy_ev_per_fu": -0.48, "lattice": [[5.031, 0.000, 0.000], [0.000, 8.962, 0.000], [0.000, 0.000, 7.728]], "species": ["Na", "Na", "Tl", "Tl", "Tl", "Tl", "Sn", "Sn", "Hg", "Hg", "Hg", "Hg"], "fractional_positions": [[0.000, 0.051, 0.000], [0.000, 0.949, 0.500], [0.000, 0.337, 0.320], [0.000, 0.663, 0.820], [0.500, 0.443, 0.013], [0.500, 0.557, 0.513], [0.500, 0.172, 0.677], [0.500, 0.828, 0.177], [0.000, 0.328, 0.737], [0.000, 0.672, 0.237], [0.500, 0.139, 0.289], [0.500, 0.861, 0.789]]}


{"formula": "NaTl2Sn2Hg5", "functional": "PBE", "state": "relaxed", "space_group": "P4/mbm, No. 127", "dos_at_fermi_per_ev_fu": 2.57, "total_magnetization_mub_per_cell": 0.0, "formation_energy_ev_per_fu": -0.35, "lattice": [[11.109, 0.000, 0.000], [0.000, 11.109, 0.000], [0.000, 0.000, 4.589]], "species": ["Na", "Na", "Tl", "Tl", "Tl", "Tl", "Sn", "Sn", "Sn", "Sn", "Hg", "Hg", "Hg", "Hg", "Hg", "Hg", "Hg", "Hg", "Hg", "Hg"], "fractional_positions": [[0.000, 0.000, 0.000], [0.500, 0.500, 0.000], [0.172, 0.328, 0.000], [0.328, 0.828, 0.000], [0.672, 0.172, 0.000], [0.828, 0.672, 0.000], [0.129, 0.629, 0.000], [0.371, 0.129, 0.000], [0.629, 0.871, 0.000], [0.871, 0.371, 0.000], [0.000, 0.500, 0.500], [0.042, 0.802, 0.500], [0.198, 0.042, 0.500], [0.302, 0.542, 0.500], [0.458, 0.302, 0.500], [0.500, 0.000, 0.500], [0.542, 0.698, 0.500], [0.698, 0.458, 0.500], [0.802, 0.958, 0.500], [0.958, 0.198, 0.500]]}


{"formula": "Na2Tl2SnHg4", "functional": "PBE", "state": "relaxed", "space_group": "I4/mmm, No. 139", "dos_at_fermi_per_ev_fu": 1.93, "total_magnetization_mub_per_cell": 0.0, "formation_energy_ev_per_fu": -0.44, "lattice": [[-3.558, 3.558, 5.277], [3.558, -3.558, 5.277], [3.558, 3.558, -5.277]], "species": ["Na", "Na", "Tl", "Tl", "Sn", "Hg", "Hg", "Hg", "Hg"], "fractional_positions": [[0.215, 0.215, 0.000], [0.785, 0.785, 0.000], [0.250, 0.750, 0.500], [0.750, 0.250, 0.500], [0.500, 0.500, 0.000], [0.215, 0.215, 0.431], [0.215, 0.785, 0.000], [0.785, 0.215, 0.000], [0.785, 0.785, 0.569]]}


{"formula": "NaTl2SnHg", "functional": "PBE", "state": "relaxed", "space_group": "Cmcm, No. 63", "dos_at_fermi_per_ev_fu": 1.84, "total_magnetization_mub_per_cell": 0.0, "formation_energy_ev_per_fu": -0.12, "lattice": [[3.467, -6.576, 0.000], [3.467, 6.576, 0.000], [0.000, 0.000, 7.040]], "species": ["Na", "Na", "Tl", "Tl", "Tl", "Tl", "Sn", "Sn", "Hg", "Hg"], "fractional_positions": [[0.239, 0.761, 0.750], [0.761, 0.239, 0.250], [0.255, 0.255, 0.000], [0.255, 0.255, 0.500], [0.745, 0.745, 0.000], [0.745, 0.745, 0.500], [0.141, 0.859, 0.250], [0.859, 0.141, 0.750], [0.354, 0.646, 0.250], [0.646, 0.354, 0.750]]}


{"formula": "Na4Tl2SnHg2", "functional": "PBE", "state": "relaxed", "space_group": "P-1, No. 2", "dos_at_fermi_per_ev_fu": 3.25, "total_magnetization_mub_per_cell": 0.0, "formation_energy_ev_per_fu": -1.40, "lattice": [[5.267, 0.000, 0.000], [-0.010, 6.055, 0.000], [-2.549, -2.337, 7.592]], "species": ["Na", "Na", "Na", "Na", "Tl", "Tl", "Sn", "Hg", "Hg"], "fractional_positions": [[0.118, 0.087, 0.231], [0.351, 0.218, 0.705], [0.649, 0.782, 0.295], [0.882, 0.913, 0.769], [0.236, 0.655, 0.473], [0.764, 0.345, 0.527], [0.000, 0.500, 0.000], [0.445, 0.740, 0.895], [0.555, 0.260, 0.105]]}


{"formula": "NaTlSnHg2", "functional": "PBE", "state": "relaxed", "space_group": "P3m1, No. 156", "dos_at_fermi_per_ev_fu": 1.21, "total_magnetization_mub_per_cell": 0.0, "formation_energy_ev_per_fu": -0.31, "lattice": [[5.051, 0.000, 0.000], [-2.526, 4.375, 0.000], [0.000, 0.000, 6.659]], "species": ["Na", "Tl", "Sn", "Hg", "Hg"], "fractional_positions": [[0.000, 0.000, 0.000], [0.667, 0.333, 0.335], [0.333, 0.667, 0.669], [0.000, 0.000, 0.548], [0.333, 0.667, 0.146]]}


{"formula": "NaTlSnHg", "functional": "PBE", "state": "relaxed", "space_group": "F-43m, No. 216", "dos_at_fermi_per_ev_fu": 1.32, "total_magnetization_mub_per_cell": 0.0, "e_above_lowest_polymorph_mev_per_atom": 0, "formation_energy_ev_per_fu": -0.45, "lattice": [[0.000, 3.760, 3.760], [3.760, 0.000, 3.760], [3.760, 3.760, 0.000]], "species": ["Na", "Tl", "Sn", "Hg"], "fractional_positions": [[0.000, 0.000, 0.000], [0.250, 0.250, 0.250], [0.500, 0.500, 0.500], [0.750, 0.750, 0.750]]}


{"formula": "NaTmSnHg", "functional": "PBE", "state": "relaxed", "space_group": "F-43m, No. 216", "dos_at_fermi_per_ev_fu": 1.41, "total_magnetization_mub_per_cell": 0.0, "formation_energy_ev_per_fu": -1.62, "lattice": [[0.000, 3.697, 3.697], [3.697, 0.000, 3.697], [3.697, 3.697, 0.000]], "species": ["Na", "Tm", "Sn", "Hg"], "fractional_positions": [[0.000, 0.000, 0.000], [0.500, 0.500, 0.500], [0.750, 0.750, 0.750], [0.250, 0.250, 0.250]]}


no.,V (Å³ per cell)
1,316.5
2,169.8
3,108.2
4,523.8
5,348.4
6,566.3
7,267.2
8,321.0
9,242.1
10,147.2
11,106.3
12,101.0